Computed, not measured: a relaxed Y3U2S8 crystal at the PBE-GGA level of DFT.

## Properties
symmetry = No. 12
formation energy from raw total energies = -1.70 eV per atom

abc: 8.0368 8.0368 6.6335
angles: 107.19 107.19 58.61
Closest atoms and distances in Å follow each position.
Element x y z (fractional)
1 Y 0.0000 0.0000 0.0000  6 S 2.73-2.75
2 Y 0.2613 0.7387 0.5000  6 S 2.69-2.77
3 Y 0.7387 0.2613 0.5000  6 S 2.69-2.77
4 U 0.2616 0.2616 0.8363  6 S 2.69-2.81
5 U 0.7384 0.7384 0.1637  6 S 2.69-2.81
6 S 0.1054 0.6425 0.0848  2 Y 2.73, 2 U 2.81
7 S 0.1170 0.1170 0.4275  3 Y 2.75-2.77, 1 U 2.78
8 S 0.3575 0.8946 0.9152  2 Y 2.73, 2 U 2.81
9 S 0.3889 0.3889 0.6104  1 U 2.69, 2 Y 2.69
10 S 0.6111 0.6111 0.3896  1 U 2.69, 2 Y 2.69
11 S 0.6425 0.1054 0.0848  2 Y 2.73, 2 U 2.81
12 S 0.8830 0.8830 0.5725  3 Y 2.75-2.77, 1 U 2.78
13 S 0.8946 0.3575 0.9152  2 Y 2.73, 2 U 2.81